# 1
PtC5 | Alexandria via LeMat-Bulk | PBE-GGA | optimized geometry; energy of formation = 2.39 eV/atom; distance to the lowest polymorph of the same formula = 1686.4 meV/atom
1.0
-2.148 2.504 1.191
-1.437 -2.294 2.231
3.574 1.323 3.662
C Pt
5 1
Cartesian
2.689 0.996 2.756 C
-0.446 0.604 3.091 C
0.435 0.930 3.993 C
0.884 0.327 0.906 C
1.787 0.661 1.831 C
-1.792 0.105 1.711 Pt

***

# 2
Mg4TiHg5 | Alexandria via LeMat-Bulk | PBE-GGA | optimized geometry; energy of formation = -0.17 eV/atom
1.0
-2.472 -2.062 -0.655
0.068 -1.068 3.106
-12.590 13.528 4.928
Hg Mg Ti
5 4 1
Cartesian
-10.066 7.959 4.695 Hg
-4.928 2.438 2.683 Hg
-7.497 5.199 3.689 Hg
-2.380 -0.299 1.686 Hg
-12.614 10.696 5.692 Hg
-5.003 5.376 1.958 Mg
-7.586 8.152 2.969 Mg
-2.445 2.627 0.957 Mg
-10.145 10.900 3.971 Mg
0.000 0.000 0.000 Ti

***

# 3
La2TmPb9 | Alexandria via LeMat-Bulk | PBE-GGA | optimized geometry; energy of formation = -0.37 eV/atom
1.0
-1.831 -2.443 3.892
3.619 -3.349 -0.399
8.413 8.020 8.992
La Pb Tm
2 9 1
Cartesian
5.619 5.356 6.006 La
2.794 2.664 2.987 La
0.432 0.063 3.386 Pb
6.016 2.335 4.297 Pb
8.875 5.061 7.352 Pb
6.528 2.475 7.769 Pb
3.157 -0.390 1.241 Pb
0.894 -2.896 1.746 Pb
3.291 2.788 6.442 Pb
6.150 5.514 9.498 Pb
3.672 -0.247 4.716 Pb
0.000 0.000 0.000 Tm

***

# 4
MgCdW2 | Alexandria via LeMat-Bulk | PBE-GGA | optimized geometry; energy of formation = 0.64 eV/atom; distance to the lowest polymorph of the same formula = 356.0 meV/atom
1.0
-1.275 9.542 2.811
-4.017 8.926 2.183
-2.961 8.300 4.787
Cd W Mg
1 2 1
Cartesian
-2.063 6.692 2.445 Cd
-4.120 13.363 4.883 W
-0.006 0.021 0.008 W
-6.189 20.076 7.336 Mg